[1]
Computed, not measured: a geometry-optimized Ce2Mg2In3 structure at the PBE-GGA level of DFT.

abc: 4.732 7.768 10.597
angles: 90.00 102.90 90.00
Positions (direct):
In 0.777 0.250 0.554
In 0.437 0.566 0.875
In 0.563 0.066 0.125
In 0.437 0.934 0.875
Ce 0.847 0.750 0.693
Ce 0.048 0.750 0.096
In 0.563 0.434 0.125
Ce 0.153 0.250 0.307
Ce 0.952 0.250 0.904
Mg 0.309 0.056 0.617
Mg 0.691 0.944 0.383
Mg 0.309 0.444 0.617
In 0.223 0.750 0.446
Mg 0.691 0.556 0.383

Results
SG: Cmcm, No. 63
E in eV per atom: -3.5806
DOS at the Fermi energy in states/eV/cell: 29.70

=====

[2]
Computed, not measured: a geometry-optimized Ce5MgIn6 structure at the PBE-GGA level of DFT.

abc: 4.760 9.381 8.897
angles: 121.81 105.56 90.00
Positions (direct):
In 0.165 0.409 0.330
Ce 0.342 0.343 0.685
Ce 0.670 0.170 0.340
In 0.500 0.763 0.000
Ce 0.000 0.500 0.000
Mg 0.000 0.000 0.000
Ce 0.330 0.830 0.660
In 0.500 0.237 0.000
In 0.165 0.921 0.330
In 0.835 0.591 0.670
In 0.835 0.079 0.670
Ce 0.658 0.657 0.315

Results
SG: Immm, No. 71
E in eV per atom: -4.2986
DOS at the Fermi energy in states/eV/cell: 29.10